[1]
An optimized crystal structure of HfB2Ir. Source: the Alexandria database, functional PBE.

a = 4.036 Å, b = 4.036 Å, c = 4.036 Å
α = 60.00°, β = 60.00°, γ = 60.00°
Atoms (fractional coordinates):
Hf  0.000  0.000  0.000
B  0.250  0.250  0.250
B  0.750  0.750  0.750
Ir  0.500  0.500  0.500

Formation energy from the elements ... -30 meV/atom
D(E_F) ... 2.4 states/eV/cell

[2]
An optimized crystal structure of TiCdSeO6. Source: the Alexandria database, functional PBE.

a = 5.071 Å, b = 5.071 Å, c = 9.730 Å
α = 90.00°, β = 90.00°, γ = 120.00°
Atoms (fractional coordinates):
Ti  0.333  0.667  0.250
Ti  0.667  0.333  0.750
Cd  0.000  0.000  0.000
Cd  0.000  0.000  0.500
Se  0.333  0.667  0.750
Se  0.667  0.333  0.250
O  0.021  0.386  0.644
O  0.021  0.636  0.856
O  0.364  0.386  0.856
O  0.364  0.979  0.644
O  0.386  0.021  0.144
O  0.386  0.364  0.356
O  0.614  0.636  0.644
O  0.614  0.979  0.856
O  0.636  0.021  0.356
O  0.636  0.614  0.144
O  0.979  0.364  0.144
O  0.979  0.614  0.356

VASP energy ... -6.16 eV per atom

[3]
An optimized crystal structure of Ac5Sm2Pb4. Source: the Alexandria database, functional PBE.

a = 12.704 Å, b = 12.704 Å, c = 9.364 Å
α = 109.95°, β = 109.95°, γ = 17.43°
Atoms (fractional coordinates):
Ac  0.000  0.000  0.000
Ac  0.331  0.331  0.577
Ac  0.374  0.374  0.041
Ac  0.626  0.626  0.959
Ac  0.669  0.669  0.423
Sm  0.228  0.228  0.817
Sm  0.772  0.772  0.183
Pb  0.093  0.093  0.619
Pb  0.483  0.483  0.667
Pb  0.517  0.517  0.333
Pb  0.907  0.907  0.381

Formation energy from the elements ... -2 meV/atom
D(E_F) ... 14.8 states/eV/cell